(1)
K2MnCu | PBE-GGA | relaxed

Output
The total magnetic moment is 4.50 μB per cell. The value obtained for the energy above the most stable polymorph in this dataset is 319.9 meV/atom. The space-group type is P4/mmm (123). The energy relative to the elements comes out at 0.828 eV/atom.

a b c (Å): 3.8169 3.8169 9.2111
angles (deg): 90.00 90.00 90.00
Closest atoms and distances in Å follow each position.
Fractional coordinates of all 4 atoms:
K 0.0000 0.0000 0.5319  4 Cu 3.36, 4 Mn 3.75
K 0.0000 0.0000 0.9681  4 Cu 3.36, 4 Mn 3.75
Cu 0.5000 0.5000 0.7500  8 K 3.36
Mn 0.5000 0.5000 0.2500  8 K 3.75, 4 Mn 3.82

(2)
KMnCu | PBE-GGA | relaxed

Output
The total magnetic moment is 4.61 μB per cell. The value obtained for the energy above the most stable polymorph in this dataset is 387.8 meV/atom. The space-group type is F-43m (216). The energy relative to the elements comes out at 0.977 eV/atom.

a b c (Å): 4.9014 4.9014 4.9014
angles (deg): 60.00 60.00 60.00
Closest atoms and distances in Å follow each position.
Fractional coordinates of all 3 atoms:
Cu 0.7500 0.7500 0.7500  4 Mn 3.00, 4 K 3.00
Mn 0.5000 0.5000 0.5000  4 Cu 3.00
K 0.0000 0.0000 0.0000  4 Cu 3.00

(3)
K2MnCu | PBE-GGA | relaxed

Output
The total magnetic moment is 4.61 μB per cell. The value obtained for the energy above the most stable polymorph in this dataset is 364.3 meV/atom. The space-group type is I4/mmm (139). The energy relative to the elements comes out at 0.872 eV/atom.

a b c (Å): 6.1949 6.1949 6.1949
angles (deg): 132.62 132.62 69.26
Closest atoms and distances in Å follow each position.
Fractional coordinates of all 4 atoms:
K 0.5000 0.5000 0.0000  4 K 3.52, 4 Cu 3.56, 4 Mn 3.56
K 0.0000 0.0000 0.0000  4 K 3.52, 4 Mn 3.56, 4 Cu 3.56
Mn 0.2500 0.7500 0.5000  4 Cu 3.52, 8 K 3.56
Cu 0.7500 0.2500 0.5000  4 Mn 3.52, 8 K 3.56

(4)
KMn2Cu | PBE-GGA | relaxed

Output
The total magnetic moment is 7.64 μB per cell. The value obtained for the energy above the most stable polymorph in this dataset is 195.7 meV/atom. The space-group type is R-3m (166). The energy relative to the elements comes out at 0.838 eV/atom.

a b c (Å): 10.0937 10.0937 10.0937
angles (deg): 17.17 17.17 17.17
Closest atoms and distances in Å follow each position.
Fractional coordinates of all 4 atoms:
Mn 0.5199 0.5199 0.5199  3 Cu 2.57
Mn 0.9801 0.9801 0.9801  3 Cu 2.57
Cu 0.2500 0.2500 0.2500  6 Mn 2.57
K 0.7500 0.7500 0.7500  6 K 3.01

(5)
KMn2Cu | PBE-GGA | relaxed

Output
The total magnetic moment is 7.92 μB per cell. The value obtained for the energy above the most stable polymorph in this dataset is 441.2 meV/atom. The space-group type is Cmmm (65). The energy relative to the elements comes out at 1.084 eV/atom.

a b c (Å): 5.6270 5.6270 2.8001
angles (deg): 90.00 90.00 119.80
Closest atoms and distances in Å follow each position.
Fractional coordinates of all 4 atoms:
Mn 0.0000 0.0000 0.0000  4 Mn 2.80-2.82
Mn 0.5000 0.5000 0.0000  4 Mn 2.80-2.82
K 0.0000 0.5000 0.5000  2 K 2.80, 2 Cu 2.82
Cu 0.5000 0.0000 0.5000  2 Cu 2.80, 2 K 2.82

(6)
KMn2Cu | PBE-GGA | relaxed

Output
The total magnetic moment is 8.11 μB per cell. The value obtained for the energy above the most stable polymorph in this dataset is 164.2 meV/atom. The space-group type is Immm (71). The energy relative to the elements comes out at 0.807 eV/atom.

a b c (Å): 6.1739 6.1739 6.1739
angles (deg): 153.47 128.29 59.05
Closest atoms and distances in Å follow each position.
Fractional coordinates of all 4 atoms:
K 0.2500 0.7500 0.5000  2 K 2.83, 4 Cu 3.04
Mn 0.5472 0.5472 0.0000  2 Cu 2.60, 2 Mn 2.83
Mn 0.9528 0.9528 0.0000  2 Cu 2.60, 2 Mn 2.83
Cu 0.7500 0.2500 0.5000  4 Mn 2.60, 2 Cu 2.83

(7)
KMn2Cu | PBE-GGA | relaxed

Output
The total magnetic moment is 8.19 μB per cell. The value obtained for the energy above the most stable polymorph in this dataset is 443.0 meV/atom. The space-group type is I4/mmm (139). The energy relative to the elements comes out at 1.086 eV/atom.

a b c (Å): 5.4677 5.4677 5.4677
angles (deg): 135.31 135.31 65.05
Closest atoms and distances in Å follow each position.
Fractional coordinates of all 4 atoms:
Mn 0.5000 0.5000 0.0000  4 Mn 2.94, 4 Cu 3.10, 4 K 3.10
Mn 0.0000 0.0000 0.0000  4 Mn 2.94, 4 K 3.10, 4 Cu 3.10
K 0.7500 0.2500 0.5000  4 Cu 2.94, 8 Mn 3.10
Cu 0.2500 0.7500 0.5000  4 K 2.94, 8 Mn 3.10

(8)
KMn2Cu | PBE-GGA | relaxed

Output
The total magnetic moment is 7.87 μB per cell. The value obtained for the energy above the most stable polymorph in this dataset is 362.9 meV/atom. The space-group type is Pmmm (47). The energy relative to the elements comes out at 1.006 eV/atom.

a b c (Å): 2.9278 5.0776 5.2045
angles (deg): 90.00 90.00 90.00
Closest atoms and distances in Å follow each position.
Fractional coordinates of all 4 atoms:
Mn 0.0000 0.0000 0.0000  6 Mn 2.93, 4 Cu 2.99
Mn 0.5000 0.5000 0.0000  6 Mn 2.93, 4 K 2.99
Cu 0.5000 0.0000 0.5000  2 Cu 2.93, 4 K 2.93, 4 Mn 2.99
K 0.0000 0.5000 0.5000  2 K 2.93, 4 Cu 2.93, 4 Mn 2.99

(9)
KMn2Cu | PBE-GGA | relaxed

Output
The total magnetic moment is 7.99 μB per cell. The value obtained for the energy above the most stable polymorph in this dataset is 76.8 meV/atom. The space-group type is Cm (8). The energy relative to the elements comes out at 0.719 eV/atom.

a b c (Å): 4.6737 4.6737 7.0614
angles (deg): 83.91 83.91 36.32
Closest atoms and distances in Å follow each position.
Fractional coordinates of all 4 atoms:
Cu 0.4830 0.4830 0.6147  5 Mn 2.52-2.60
Mn 0.7515 0.7515 0.7272  3 Cu 2.57-2.60, 3 Mn 2.68-2.79
Mn 0.0209 0.0209 0.8966  2 Cu 2.52, 3 Mn 2.68-2.79
K 0.2446 0.2446 0.2615  2 K 2.91

(10)
K3MnCu | PBE-GGA | relaxed

Output
The total magnetic moment is 4.37 μB per cell. The value obtained for the energy above the most stable polymorph in this dataset is 0.0 meV/atom. The space-group type is Pm-3m (221). The energy relative to the elements comes out at 0.783 eV/atom.

a b c (Å): 6.2515 6.2515 6.2515
angles (deg): 90.00 90.00 90.00
Closest atoms and distances in Å follow each position.
Fractional coordinates of all 5 atoms:
Cu 0.0000 0.0000 0.0000  6 K 3.13
K 0.0000 0.5000 0.0000  2 Cu 3.13
K 0.5000 0.0000 0.0000  2 Cu 3.13
K 0.0000 0.0000 0.5000  2 Cu 3.13
Mn 0.5000 0.5000 0.5000  12 K 4.42

(11)
KMn2Cu | PBE-GGA | relaxed

Output
The total magnetic moment is 8.45 μB per cell. The value obtained for the energy above the most stable polymorph in this dataset is 474.5 meV/atom. The space-group type is I-4m2 (119). The energy relative to the elements comes out at 1.117 eV/atom.

a b c (Å): 5.0269 5.0269 5.0269
angles (deg): 124.21 124.21 82.84
Closest atoms and distances in Å follow each position.
Fractional coordinates of all 4 atoms:
Mn 0.2500 0.7500 0.5000  4 Mn 3.01, 4 Cu 3.01, 4 K 3.33
Mn 0.0000 0.0000 0.0000  4 Mn 3.01, 4 K 3.01, 4 Cu 3.33
K 0.7500 0.2500 0.5000  8 Mn 3.01-3.33, 4 Cu 3.01
Cu 0.5000 0.5000 0.0000  8 Mn 3.01-3.33, 4 K 3.01

(12)
KMn2Cu | PBE-GGA | relaxed

Output
The total magnetic moment is 7.62 μB per cell. The value obtained for the energy above the most stable polymorph in this dataset is 285.2 meV/atom. The space-group type is Imm2 (44). The energy relative to the elements comes out at 0.928 eV/atom.

a b c (Å): 6.0298 6.0298 6.0298
angles (deg): 152.77 126.63 60.93
Closest atoms and distances in Å follow each position.
Fractional coordinates of all 4 atoms:
K 0.2625 0.7625 0.5000  2 K 2.84, 4 Mn 3.07
Mn 0.9595 0.9595 0.0000  4 Mn 2.69-2.84
Mn 0.7396 0.2396 0.5000  2 Cu 2.53, 2 Mn 2.69
Cu 0.5384 0.5384 0.0000  2 Mn 2.53

| no. | E_tot (eV per atom) |
| --- | --- |
| 1 | -3.038 |
| 2 | -3.811 |
| 3 | -2.993 |
| 4 | -5.045 |
| 5 | -4.799 |
| 6 | -5.076 |
| 7 | -4.798 |
| 8 | -4.878 |
| 9 | -5.164 |
| 10 | -2.529 |
| 11 | -4.766 |
| 12 | -4.955 |